(1)
K3Hg8 | PBE-GGA | optimized geometry

Geometry as extended XYZ:
```
11
Lattice="5.422 -2.782 0.000 5.422 2.782 0.000 -2.734 0.000 11.626" Properties=species:S:1:pos:R:3 pbc="T T T"
K 0.000 0.000 0.000
K -1.125 0.000 7.784
K 9.235 0.000 3.842
Hg 1.904 0.000 2.955
Hg 3.419 0.000 0.254
Hg 2.306 0.000 6.016
Hg 2.362 0.000 9.168
Hg 5.749 0.000 2.458
Hg 5.804 0.000 5.611
Hg 4.692 0.000 11.372
Hg 6.206 0.000 8.671
```

Calculated volume: 31.88 A^3/atom
Total moment: 0.00 μB per cell
Space group: C2/m (12)
ΔE_f: -0.230 eV per atom
ρ: 8.2 g/cm3



(2)
NiRh2SCl | PBE-GGA | optimized geometry

Geometry as extended XYZ:
```
5
Lattice="4.230 0.000 0.000 0.000 4.230 0.000 0.000 0.000 5.873" Properties=species:S:1:pos:R:3 pbc="T T T"
Ni 0.000 0.000 0.000
Rh 0.000 2.115 2.936
Rh 2.115 0.000 2.936
S 2.115 2.115 2.936
Cl 2.115 2.115 0.000
```

Calculated volume: 21.02 A^3/atom
Total moment: 1.40 μB per cell
Formation energy from raw total energies: 0.739 eV/atom
Space group: P4/mmm (123)
ρ: 5.2 g/cm3



(3)
Nb7Pd12Ru | PBE-GGA | optimized geometry

Geometry as extended XYZ:
```
20
Lattice="5.925 3.421 2.730 -5.925 3.421 2.730 0.000 -6.841 2.730" Properties=species:S:1:pos:R:3 pbc="T T T"
Nb 0.000 0.000 0.000
Nb -1.229 -1.371 2.068
Nb -0.572 1.750 2.068
Nb 1.802 -0.379 2.068
Nb -1.802 0.379 6.122
Nb 0.572 -1.750 6.122
Nb 1.229 1.371 6.122
Pd -0.676 -4.185 2.252
Pd -3.286 2.678 2.252
Pd -2.720 0.253 3.602
Pd -3.963 -1.507 5.939
Pd -1.579 -2.229 4.588
Pd 1.140 -2.482 3.602
Pd -1.140 2.482 4.588
Pd 1.579 2.229 3.602
Pd 3.963 1.507 2.252
Pd 2.720 -0.253 4.588
Pd 3.286 -2.678 5.939
Pd 0.676 4.185 5.939
Ru 0.000 0.000 4.095
```

Calculated volume: 16.60 A^3/atom
Total moment: 0.00 μB per cell
Space group: R-3 (148)
ΔE_f: -0.227 eV per atom
ρ: 10.1 g/cm3



(4)
K2GaSi | PBE-GGA | optimized geometry

Geometry as extended XYZ:
```
16
Lattice="4.539 0.000 0.000 0.000 4.539 0.000 0.000 0.000 23.413" Properties=species:S:1:pos:R:3 pbc="T T T"
K 1.136 1.135 2.927
K 1.133 1.135 14.633
K 1.135 3.406 8.780
K 1.135 3.403 20.487
K 3.404 1.133 8.780
K 3.404 1.136 20.487
K 3.403 3.404 2.927
K 3.406 3.404 14.633
Ga 0.000 0.000 0.000
Ga 0.000 2.269 5.853
Ga 2.269 0.000 17.560
Ga 2.269 2.269 11.707
Si 0.000 0.000 11.707
Si 0.000 2.269 17.560
Si 2.269 0.000 5.853
Si 2.269 2.269 0.000
```

ΔE to the lowest computed polymorph: 0.654 eV per atom
Calculated volume: 30.14 A^3/atom
Total moment: 0.00 μB per cell
Formation energy from raw total energies: 0.586 eV/atom
Space group: I-42d (122)
ρ: 2.4 g/cm3